# K3ScU3S8

A relaxed K3ScU3S8 crystal (GGA-PBE, Alexandria via LeMat-Bulk).

Summary:
Raw total energy, eV for the cell shown: -99.07
Volume, A^3/atom: 27.3

```
data_K3ScU3S8
_symmetry_space_group_name_H-M 'P 1'
_symmetry_Int_Tables_number 1
_cell_length_a 8.813
_cell_length_b 8.813
_cell_length_c 8.813
_cell_angle_alpha 53.40
_cell_angle_beta 53.40
_cell_angle_gamma 53.40
loop_
_symmetry_equiv_pos_as_xyz
'x,y,z'
loop_
_atom_site_label
_atom_site_fract_x
_atom_site_fract_y
_atom_site_fract_z
K1 0.000 0.500 0.500
K2 0.500 0.000 0.500
K3 0.500 0.500 0.000
Sc1 0.500 0.500 0.500
U1 0.000 0.000 0.500
U2 0.000 0.500 0.000
U3 0.500 0.000 0.000
S1 0.235 0.235 0.235
S2 0.242 0.726 0.726
S3 0.274 0.274 0.758
S4 0.274 0.758 0.274
S5 0.726 0.242 0.726
S6 0.726 0.726 0.242
S7 0.758 0.274 0.274
S8 0.765 0.765 0.765
```